# Dy6HoEr3 PBE optimized geometry
# Distance to the lowest polymorph of the same formula (meV per atom): 24
# Formation enthalpy at 0 K (eV/atom): 0.15
# Density of states at the Fermi level (states/eV/f.u.): 14.13
data_Dy6HoEr3
_chemical_formula_sum 'Dy24 Ho4 Er12'
_cell_length_a 10.912
_cell_length_b 18.824
_cell_length_c 6.136
_cell_angle_alpha 90.00
_cell_angle_beta 90.00
_cell_angle_gamma 90.00
_symmetry_space_group_name_H-M 'C m c 21'
_symmetry_Int_Tables_number 36
loop_
_symmetry_equiv_pos_as_xyz
'x,y,z'
'-x,-y,z+1/2'
'-x,y,z'
'x,-y,z+1/2'
'x+1/2,y+1/2,z'
'-x+1/2,-y+1/2,z+1/2'
'-x+1/2,y+1/2,z'
'x+1/2,-y+1/2,z+1/2'
loop_
_atom_site_label
_atom_site_type_symbol
_atom_site_fract_x
_atom_site_fract_y
_atom_site_fract_z
_atom_site_occupancy
Dy1 Dy 0.000 0.047 0.000 1
Dy2 Dy 0.000 0.282 0.726 1
Dy3 Dy 0.165 0.454 0.616 1
Dy4 Dy 0.246 0.290 0.441 1
Ho1 Ho 0.000 0.206 0.226 1
Er1 Er 0.000 0.390 0.153 1
Er2 Er 0.170 0.109 0.538 1